First-principles (GGA-PBE) data for a relaxed structure of LaPrGdY, as listed in Alexandria via LeMat-Bulk.

Cell lengths 8.227, 8.227, 8.227 Å; angles 90.00, 90.00, 90.00 degrees
Space group F-43m (No. 216)
Symmetry-distinct sites (fractional):
La: 0.000 0.000 0.000 [4 per cell]
Pr: 0.000 0.000 0.500 [4 per cell]
Gd: 0.250 0.250 0.250 [4 per cell]
Y: 0.250 0.250 0.750 [4 per cell]

Computed properties:
The density of states at the Fermi level comes out at 1.962 states/eV per atom. Its formation energy is 91.2 meV per atom.

First-principles (GGA-PBE) data for a relaxed structure of LaPrGdZn, as listed in Alexandria via LeMat-Bulk.

Cell lengths 7.798, 7.798, 7.798 Å; angles 90.00, 90.00, 90.00 degrees
Space group F-43m (No. 216)
Symmetry-distinct sites (fractional):
La: 0.000 0.000 0.000 [4 per cell]
Pr: 0.000 0.000 0.500 [4 per cell]
Gd: 0.250 0.250 0.750 [4 per cell]
Zn: 0.250 0.250 0.250 [4 per cell]

Computed properties:
The density of states at the Fermi level comes out at 1.535 states/eV per atom. Its formation energy is 11.3 meV per atom.

First-principles (GGA-PBE) data for a relaxed structure of La2GdPt, as listed in Alexandria via LeMat-Bulk.

Cell lengths 3.740, 3.740, 8.605 Å; angles 90.00, 90.00, 90.00 degrees
Space group P4/mmm (No. 123)
Symmetry-distinct sites (fractional):
La: 0.000 0.000 0.198 [2 per cell]
Gd: 0.500 0.500 0.500 [1 per cell]
Pt: 0.500 0.500 0.000 [1 per cell]

Computed properties:
The density of states at the Fermi level comes out at 1.392 states/eV per atom. For the offset from the most stable computed form, the calculation gives 0 meV per atom. Its formation energy is -514.9 meV per atom.

First-principles (GGA-PBE) data for a relaxed structure of LaGdPt4, as listed in Alexandria via LeMat-Bulk.

Cell lengths 7.787, 7.787, 7.787 Å; angles 90.00, 90.00, 90.00 degrees
Space group F-43m (No. 216)
Symmetry-distinct sites (fractional):
La: 0.000 0.000 0.000 [4 per cell]
Gd: 0.250 0.250 0.250 [4 per cell]
Pt: 0.125 0.125 0.625 [16 per cell]

Computed properties:
The density of states at the Fermi level comes out at 0.245 states/eV per atom. Its formation energy is -1102.4 meV per atom.

First-principles (GGA-PBE) data for a relaxed structure of La2GdPt, as listed in Alexandria via LeMat-Bulk.

Cell lengths 3.9022, 3.9022, 32.0958 Å; angles 90.00, 90.00, 120.00 degrees
Space group R-3m (No. 166, hexagonal axes)
Symmetry-distinct sites (fractional):
La: 0.0000 0.0000 0.1094 [6 per cell]
Gd: 0.0000 0.0000 0.0000 [3 per cell]
Pt: 0.0000 0.0000 0.5000 [3 per cell]

Computed properties:
The density of states at the Fermi level comes out at 1.982 states/eV per atom. For the offset from the most stable computed form, the calculation gives 199 meV per atom. Its formation energy is -316.3 meV per atom.

First-principles (GGA-PBE) data for a relaxed structure of LaGdPtRh, as listed in Alexandria via LeMat-Bulk.

Cell lengths 7.130, 7.130, 7.130 Å; angles 90.00, 90.00, 90.00 degrees
Space group F-43m (No. 216)
Symmetry-distinct sites (fractional):
La: 0.000 0.000 0.000 [4 per cell]
Gd: 0.000 0.000 0.500 [4 per cell]
Pt: 0.250 0.250 0.250 [4 per cell]
Rh: 0.250 0.250 0.750 [4 per cell]

Computed properties:
The density of states at the Fermi level comes out at 0.586 states/eV per atom. Its formation energy is -913.7 meV per atom.

First-principles (GGA-PBE) data for a relaxed structure of LaGdPu, as listed in Alexandria via LeMat-Bulk.

Cell lengths 3.558, 3.558, 15.084 Å; angles 90.00, 90.00, 90.00 degrees
Space group I4mm (No. 107)
Symmetry-distinct sites (fractional):
La: 0.000 0.000 0.000 [2 per cell]
Gd: 0.000 0.000 0.324 [2 per cell]
Pu: 0.000 0.000 0.665 [2 per cell]

Computed properties:
The density of states at the Fermi level comes out at 2.651 states/eV per atom. Its formation energy is 109.4 meV per atom.

First-principles (GGA-PBE) data for a relaxed structure of LaGdPuSc, as listed in Alexandria via LeMat-Bulk.

Cell lengths 7.837, 7.837, 7.837 Å; angles 90.00, 90.00, 90.00 degrees
Space group F-43m (No. 216)
Symmetry-distinct sites (fractional):
La: 0.000 0.000 0.000 [4 per cell]
Gd: 0.000 0.000 0.500 [4 per cell]
Pu: 0.250 0.250 0.750 [4 per cell]
Sc: 0.250 0.250 0.250 [4 per cell]

Computed properties:
The density of states at the Fermi level comes out at 3.542 states/eV per atom. Its formation energy is 193.3 meV per atom.